# Sc2FeSb2 (PBE, optimized geometry)
data_Sc2FeSb2
_chemical_formula_sum 'Sc4 Fe2 Sb4'
_cell_length_a 4.105
_cell_length_b 4.105
_cell_length_c 14.831
_cell_angle_alpha 90.00
_cell_angle_beta 90.00
_cell_angle_gamma 90.00
_space_group_name_H-M_alt 'I 4/m m m'
_space_group_IT_number 139
_space_group_name_Hall '-I 4 2'
loop_
_atom_site_label
_atom_site_type_symbol
_atom_site_fract_x
_atom_site_fract_y
_atom_site_fract_z
Sc1 Sc 0.000 0.000 0.098
Fe1 Fe 0.000 0.000 0.500
Sb1 Sb 0.000 0.500 0.250
# Total magnetic moment = 0.41 μB per atom
# Crystal system = tetragonal
# Energy relative to the elements, uncorrected = 0.220 eV per atom
# VASP energy = -56.55 eV for the cell shown
# DOS(E_F) = 6.9 states/eV/f.u.